(1)
# KLiPtCl6, relaxed, DFT PBE
data_KLiPtCl6
_chemical_formula_sum 'K1 Li1 Pt1 Cl6'
_symmetry_space_group_name_H-M 'P 3 1 2'
_symmetry_Int_Tables_number 149
_symmetry_space_group_name_Hall 'P 3 2'
_cell_length_a 6.4542
_cell_length_b 6.4542
_cell_length_c 6.9770
_cell_angle_alpha 90.00
_cell_angle_beta 90.00
_cell_angle_gamma 120.00
loop_
_atom_site_label
_atom_site_type_symbol
_atom_site_fract_x
_atom_site_fract_y
_atom_site_fract_z
K1 K 0.0000 0.0000 0.0000
Li1 Li 0.3333 0.6667 0.5000
Pt1 Pt 0.6667 0.3333 0.5000
Cl1 Cl 0.3789 0.0262 0.6941
# E = -30.14 eV per cell
# uncorrected formation energy = -1112 meV per atom
# density = 2.994 g/cm3


(2)
# KLi2PtCl8, relaxed, DFT PBE
data_KLi2PtCl8
_chemical_formula_sum 'K1 Li2 Pt1 Cl8'
_symmetry_space_group_name_H-M 'P -1'
_symmetry_Int_Tables_number 2
_symmetry_space_group_name_Hall '-P 1'
_cell_length_a 5.5920
_cell_length_b 6.1414
_cell_length_c 8.9303
_cell_angle_alpha 90.89
_cell_angle_beta 103.69
_cell_angle_gamma 92.27
loop_
_atom_site_label
_atom_site_type_symbol
_atom_site_fract_x
_atom_site_fract_y
_atom_site_fract_z
K1 K 0.0000 0.0000 0.0000
Li1 Li 0.4761 0.4660 0.2974
Pt1 Pt 0.0000 0.0000 0.5000
Cl1 Cl 0.1757 0.8195 0.3219
Cl2 Cl 0.2379 0.3220 0.4881
Cl3 Cl 0.2643 0.4940 0.0188
Cl4 Cl 0.2885 0.8744 0.7157
# E = -38.16 eV per cell
# uncorrected formation energy = -1035 meV per atom
# density = 2.966 g/cm3


(3)
# KLi2PuCl6, relaxed, DFT PBE
data_KLi2PuCl6
_chemical_formula_sum 'K1 Li2 Pu1 Cl6'
_symmetry_space_group_name_H-M 'P 1'
_symmetry_Int_Tables_number 1
_symmetry_space_group_name_Hall 'P 1'
_cell_length_a 6.9143
_cell_length_b 6.9864
_cell_length_c 7.4091
_cell_angle_alpha 117.40
_cell_angle_beta 90.24
_cell_angle_gamma 119.40
loop_
_atom_site_label
_atom_site_type_symbol
_atom_site_fract_x
_atom_site_fract_y
_atom_site_fract_z
K1 K 0.0000 0.0000 0.0000
Li1 Li 0.2664 0.5369 0.8175
Li2 Li 0.7814 0.5621 0.3575
Pu1 Pu 0.4757 0.9598 0.4426
Cl1 Cl 0.0543 0.6881 0.1559
Cl2 Cl 0.1872 0.7292 0.6353
Cl3 Cl 0.4584 0.5246 0.1602
Cl4 Cl 0.5427 0.4419 0.6382
Cl5 Cl 0.6304 0.0975 0.1578
Cl6 Cl 0.9006 0.0985 0.6385
# E = -48.92 eV per cell
# uncorrected formation energy = -1858 meV per atom
# density = 3.202 g/cm3


(4)
# KLi4Pu3Cl12, relaxed, DFT PBE
data_KLi4Pu3Cl12
_chemical_formula_sum 'K3 Li12 Pu9 Cl36'
_symmetry_space_group_name_H-M 'R 3 2'
_symmetry_Int_Tables_number 155
_symmetry_space_group_name_Hall 'R 3 2"'
_cell_length_a 14.6152
_cell_length_b 14.6152
_cell_length_c 10.1196
_cell_angle_alpha 90.00
_cell_angle_beta 90.00
_cell_angle_gamma 120.00
loop_
_atom_site_label
_atom_site_type_symbol
_atom_site_fract_x
_atom_site_fract_y
_atom_site_fract_z
K1 K 0.0000 0.0000 0.0000
Li1 Li 0.0000 0.0000 0.5000
Li2 Li 0.0000 0.4365 0.5000
Pu1 Pu 0.0000 0.5578 0.0000
Cl1 Cl 0.0000 0.5964 0.5000
Cl2 Cl 0.0000 0.8435 0.5000
Cl3 Cl 0.0453 0.2133 0.1807
# E = -330.48 eV per cell
# uncorrected formation energy = -1813 meV per atom
# density = 3.258 g/cm3


(5)
# KLiPuCl6, relaxed, DFT PBE
data_KLiPuCl6
_chemical_formula_sum 'K2 Li2 Pu2 Cl12'
_symmetry_space_group_name_H-M 'P -3 1 c'
_symmetry_Int_Tables_number 163
_symmetry_space_group_name_Hall '-P 3 2c'
_cell_length_a 6.7759
_cell_length_b 6.7759
_cell_length_c 14.0104
_cell_angle_alpha 90.00
_cell_angle_beta 90.00
_cell_angle_gamma 120.00
loop_
_atom_site_label
_atom_site_type_symbol
_atom_site_fract_x
_atom_site_fract_y
_atom_site_fract_z
K1 K 0.0000 0.0000 0.0000
Li1 Li 0.3333 0.6667 0.2500
Pu1 Pu 0.3333 0.6667 0.7500
Cl1 Cl 0.0019 0.3670 0.6444
# E = -89.29 eV per cell
# uncorrected formation energy = -1803 meV per atom
# density = 2.997 g/cm3


(6)
# KLiPuCl5, relaxed, DFT PBE
data_KLiPuCl5
_chemical_formula_sum 'K4 Li4 Pu4 Cl20'
_symmetry_space_group_name_H-M 'C 1 2/c 1'
_symmetry_Int_Tables_number 15
_symmetry_space_group_name_Hall '-C 2yc'
_cell_length_a 8.9033
_cell_length_b 12.1304
_cell_length_c 10.1244
_cell_angle_alpha 90.00
_cell_angle_beta 113.37
_cell_angle_gamma 90.00
loop_
_atom_site_label
_atom_site_type_symbol
_atom_site_fract_x
_atom_site_fract_y
_atom_site_fract_z
K1 K 0.0000 0.1489 0.2500
Li1 Li 0.0000 0.1898 0.7500
Pu1 Pu 0.0000 0.5000 0.0000
Cl1 Cl 0.0000 0.4128 0.2500
Cl2 Cl 0.1165 0.3004 0.6187
Cl3 Cl 0.1854 0.0646 0.9258
# E = -167.33 eV per cell
# uncorrected formation energy = -1907 meV per atom
# density = 3.092 g/cm3


Copy entry 1 word for word.
# KLiPtCl6, relaxed, DFT PBE
data_KLiPtCl6
_chemical_formula_sum 'K1 Li1 Pt1 Cl6'
_symmetry_space_group_name_H-M 'P 3 1 2'
_symmetry_Int_Tables_number 149
_symmetry_space_group_name_Hall 'P 3 2'
_cell_length_a 6.4542
_cell_length_b 6.4542
_cell_length_c 6.9770
_cell_angle_alpha 90.00
_cell_angle_beta 90.00
_cell_angle_gamma 120.00
loop_
_atom_site_label
_atom_site_type_symbol
_atom_site_fract_x
_atom_site_fract_y
_atom_site_fract_z
K1 K 0.0000 0.0000 0.0000
Li1 Li 0.3333 0.6667 0.5000
Pt1 Pt 0.6667 0.3333 0.5000
Cl1 Cl 0.3789 0.0262 0.6941
# E = -30.14 eV per cell
# uncorrected formation energy = -1112 meV per atom
# density = 2.994 g/cm3


Question: Among the records above, which one has the lowest uncorrected formation energy?
Answer: KLiPuCl5


Question: Which value of density does entry 2 give?
Answer: 2.966 g/cm3


Question: The highest uncorrected formation energy belongs to which entry?
Answer: KLi2PtCl8